Entry from Alexandria: a crystal of CsMnPtSe2 relaxed with PBEsol (meta-GGA SCAN).

Output
* raw total energy: -164.28 eV for the cell shown
* Fermi-level density of states: 0.92 states/eV/atom

Structure (CIF):
```
data_CsMnPtSe2
_chemical_formula_sum 'Cs1 Mn1 Pt1 Se2'
_cell_length_a 4.679
_cell_length_b 4.679
_cell_length_c 5.945
_cell_angle_alpha 90.00
_cell_angle_beta 90.00
_cell_angle_gamma 90.00
_symmetry_space_group_name_H-M 'P 1'
_symmetry_Int_Tables_number 1
_symmetry_space_group_name_Hall 'P 1'
loop_
_atom_site_label
_atom_site_fract_x
_atom_site_fract_y
_atom_site_fract_z
_atom_site_occupancy
Cs1 0.000 0.000 0.500 1
Se1 0.000 0.500 0.000 1
Se2 0.500 0.000 0.000 1
Pt1 0.500 0.500 0.500 1
Mn1 0.000 0.000 0.000 1
```